(1)
# Tl2InTe, optimized geometry, DFT GGA-PBE
data_Tl2InTe
_symmetry_space_group_name_H-M 'P 1'
_symmetry_Int_Tables_number 1
_cell_length_a 4.135
_cell_length_b 4.135
_cell_length_c 7.329
_cell_angle_alpha 90.00
_cell_angle_beta 90.00
_cell_angle_gamma 90.00
loop_
_symmetry_equiv_pos_as_xyz
'x,y,z'
loop_
_atom_site_label
_atom_site_type_symbol
_atom_site_fract_x
_atom_site_fract_y
_atom_site_fract_z
Tl1 Tl 0.000 0.000 0.000
Tl2 Tl 0.500 0.500 0.276
In1 In 0.000 0.000 0.526
Te1 Te 0.500 0.500 0.734
# uncorrected formation energy: -0.1555 eV per atom
# ΔE to the lowest computed polymorph: 4.9 meV/atom
# Fermi-level density of states: 0.8 states/eV/cell



(2)
# Tl2In2Te, optimized geometry, DFT GGA-PBE
data_Tl2In2Te
_symmetry_space_group_name_H-M 'P 1'
_symmetry_Int_Tables_number 1
_cell_length_a 8.241
_cell_length_b 8.241
_cell_length_c 4.660
_cell_angle_alpha 90.00
_cell_angle_beta 90.00
_cell_angle_gamma 90.00
loop_
_symmetry_equiv_pos_as_xyz
'x,y,z'
loop_
_atom_site_label
_atom_site_type_symbol
_atom_site_fract_x
_atom_site_fract_y
_atom_site_fract_z
Tl1 Tl 0.168 0.332 0.000
Tl2 Tl 0.332 0.832 0.000
Tl3 Tl 0.668 0.168 0.000
Tl4 Tl 0.832 0.668 0.000
In1 In 0.138 0.638 0.500
In2 In 0.362 0.138 0.500
In3 In 0.638 0.862 0.500
In4 In 0.862 0.362 0.500
Te1 Te 0.000 0.000 0.500
Te2 Te 0.500 0.500 0.500
# uncorrected formation energy: -0.0476 eV per atom
# ΔE to the lowest computed polymorph: 0.0 meV/atom
# Fermi-level density of states: 5.6 states/eV/cell



(3)
# Tl3InTe4, optimized geometry, DFT GGA-PBE
data_Tl3InTe4
_symmetry_space_group_name_H-M 'P 1'
_symmetry_Int_Tables_number 1
_cell_length_a 11.752
_cell_length_b 7.389
_cell_length_c 7.287
_cell_angle_alpha 90.00
_cell_angle_beta 90.00
_cell_angle_gamma 90.00
loop_
_symmetry_equiv_pos_as_xyz
'x,y,z'
loop_
_atom_site_label
_atom_site_type_symbol
_atom_site_fract_x
_atom_site_fract_y
_atom_site_fract_z
Tl1 Tl 0.000 0.228 0.000
Tl2 Tl 0.249 0.289 0.476
Tl3 Tl 0.251 0.711 0.976
Tl4 Tl 0.500 0.772 0.500
Tl5 Tl 0.749 0.711 0.976
Tl6 Tl 0.751 0.289 0.476
In1 In 0.000 0.815 0.446
In2 In 0.500 0.185 0.946
Te1 Te 0.000 0.192 0.531
Te2 Te 0.000 0.771 0.056
Te3 Te 0.219 0.700 0.551
Te4 Te 0.281 0.300 0.051
Te5 Te 0.500 0.229 0.556
Te6 Te 0.500 0.808 0.031
Te7 Te 0.719 0.300 0.051
Te8 Te 0.781 0.700 0.551
# uncorrected formation energy: -0.2277 eV per atom



(4)
# Tl2InTe, optimized geometry, DFT GGA-PBE
data_Tl2InTe
_symmetry_space_group_name_H-M 'P 1'
_symmetry_Int_Tables_number 1
_cell_length_a 4.197
_cell_length_b 4.197
_cell_length_c 7.137
_cell_angle_alpha 90.00
_cell_angle_beta 90.00
_cell_angle_gamma 90.00
loop_
_symmetry_equiv_pos_as_xyz
'x,y,z'
loop_
_atom_site_label
_atom_site_type_symbol
_atom_site_fract_x
_atom_site_fract_y
_atom_site_fract_z
Tl1 Tl 0.000 0.000 0.243
Tl2 Tl 0.000 0.000 0.757
In1 In 0.500 0.500 0.500
Te1 Te 0.500 0.500 0.000
# uncorrected formation energy: -0.1246 eV per atom
# ΔE to the lowest computed polymorph: 35.7 meV/atom
# Fermi-level density of states: 0.6 states/eV/cell



(5)
# Tl2In2Te5, optimized geometry, DFT GGA-PBE
data_Tl2In2Te5
_symmetry_space_group_name_H-M 'P 1'
_symmetry_Int_Tables_number 1
_cell_length_a 8.880
_cell_length_b 8.880
_cell_length_c 10.583
_cell_angle_alpha 116.86
_cell_angle_beta 116.86
_cell_angle_gamma 29.73
loop_
_symmetry_equiv_pos_as_xyz
'x,y,z'
loop_
_atom_site_label
_atom_site_type_symbol
_atom_site_fract_x
_atom_site_fract_y
_atom_site_fract_z
Tl1 Tl 0.140 0.140 0.279
Tl2 Tl 0.860 0.860 0.721
In1 In 0.445 0.445 0.303
In2 In 0.555 0.555 0.697
Te1 Te 0.092 0.092 0.890
Te2 Te 0.370 0.370 0.496
Te3 Te 0.500 0.500 0.000
Te4 Te 0.630 0.630 0.504
Te5 Te 0.908 0.908 0.110
# uncorrected formation energy: -0.1919 eV per atom
# Fermi-level density of states: 3.5 states/eV/cell



(6)
# Tl2InTe, optimized geometry, DFT GGA-PBE
data_Tl2InTe
_symmetry_space_group_name_H-M 'P 1'
_symmetry_Int_Tables_number 1
_cell_length_a 6.326
_cell_length_b 6.326
_cell_length_c 6.326
_cell_angle_alpha 135.00
_cell_angle_beta 134.29
_cell_angle_gamma 66.09
loop_
_symmetry_equiv_pos_as_xyz
'x,y,z'
loop_
_atom_site_label
_atom_site_type_symbol
_atom_site_fract_x
_atom_site_fract_y
_atom_site_fract_z
Tl1 Tl 0.248 0.248 0.000
Tl2 Tl 0.752 0.752 0.000
In1 In 0.000 0.500 0.500
Te1 Te 0.500 0.000 0.500
# uncorrected formation energy: -0.1416 eV per atom
# ΔE to the lowest computed polymorph: 18.8 meV/atom
# Fermi-level density of states: 1.2 states/eV/cell



(7)
# TlInTe, optimized geometry, DFT GGA-PBE
data_TlInTe
_symmetry_space_group_name_H-M 'P 1'
_symmetry_Int_Tables_number 1
_cell_length_a 4.739
_cell_length_b 4.739
_cell_length_c 10.840
_cell_angle_alpha 90.00
_cell_angle_beta 90.00
_cell_angle_gamma 120.00
loop_
_symmetry_equiv_pos_as_xyz
'x,y,z'
loop_
_atom_site_label
_atom_site_type_symbol
_atom_site_fract_x
_atom_site_fract_y
_atom_site_fract_z
Tl1 Tl 0.333 0.667 0.395
Tl2 Tl 0.667 0.333 0.605
In1 In 0.333 0.667 0.917
In2 In 0.667 0.333 0.083
Te1 Te 0.000 0.000 0.234
Te2 Te 0.000 0.000 0.766
# uncorrected formation energy: -0.2380 eV per atom
# ΔE to the lowest computed polymorph: 1.5 meV/atom
# Fermi-level density of states: 0.5 states/eV/cell



(8)
# TlIn2Te, optimized geometry, DFT GGA-PBE
data_TlIn2Te
_symmetry_space_group_name_H-M 'P 1'
_symmetry_Int_Tables_number 1
_cell_length_a 5.583
_cell_length_b 5.583
_cell_length_c 5.583
_cell_angle_alpha 60.00
_cell_angle_beta 60.00
_cell_angle_gamma 60.00
loop_
_symmetry_equiv_pos_as_xyz
'x,y,z'
loop_
_atom_site_label
_atom_site_type_symbol
_atom_site_fract_x
_atom_site_fract_y
_atom_site_fract_z
Tl1 Tl 0.000 0.000 0.000
In1 In 0.250 0.250 0.250
In2 In 0.750 0.750 0.750
Te1 Te 0.500 0.500 0.500
# uncorrected formation energy: -0.0076 eV per atom
# ΔE to the lowest computed polymorph: 117.7 meV/atom
# Fermi-level density of states: 4.1 states/eV/cell



(9)
# TmTl2InTe4, optimized geometry, DFT GGA-PBE
data_TmTl2InTe4
_symmetry_space_group_name_H-M 'P 1'
_symmetry_Int_Tables_number 1
_cell_length_a 7.725
_cell_length_b 4.383
_cell_length_c 8.484
_cell_angle_alpha 90.00
_cell_angle_beta 107.97
_cell_angle_gamma 90.00
loop_
_symmetry_equiv_pos_as_xyz
'x,y,z'
loop_
_atom_site_label
_atom_site_type_symbol
_atom_site_fract_x
_atom_site_fract_y
_atom_site_fract_z
Tm1 Tm 0.000 0.000 0.000
Tl1 Tl 0.000 0.500 0.500
Tl2 Tl 0.500 0.000 0.500
In1 In 0.500 0.500 0.000
Te1 Te 0.236 0.500 0.213
Te2 Te 0.266 0.000 0.793
Te3 Te 0.734 0.000 0.207
Te4 Te 0.764 0.500 0.787
# uncorrected formation energy: -0.6459 eV per atom
# Fermi-level density of states: 0.8 states/eV/cell



(10)
# U2Tl3InTe6, optimized geometry, DFT GGA-PBE
data_U2Tl3InTe6
_symmetry_space_group_name_H-M 'P 1'
_symmetry_Int_Tables_number 1
_cell_length_a 7.913
_cell_length_b 7.913
_cell_length_c 8.400
_cell_angle_alpha 98.90
_cell_angle_beta 98.90
_cell_angle_gamma 119.33
loop_
_symmetry_equiv_pos_as_xyz
'x,y,z'
loop_
_atom_site_label
_atom_site_type_symbol
_atom_site_fract_x
_atom_site_fract_y
_atom_site_fract_z
U1 U 0.169 0.831 0.000
U2 U 0.831 0.169 0.000
Tl1 Tl 0.000 0.000 0.500
Tl2 Tl 0.343 0.657 0.500
Tl3 Tl 0.657 0.343 0.500
In1 In 0.500 0.500 0.000
Te1 Te 0.067 0.426 0.781
Te2 Te 0.211 0.211 0.206
Te3 Te 0.426 0.067 0.781
Te4 Te 0.574 0.933 0.219
Te5 Te 0.789 0.789 0.794
Te6 Te 0.933 0.574 0.219
# uncorrected formation energy: -0.4875 eV per atom
# Fermi-level density of states: 10.1 states/eV/cell



(11)
# UTl3In2Te6, optimized geometry, DFT GGA-PBE
data_UTl3In2Te6
_symmetry_space_group_name_H-M 'P 1'
_symmetry_Int_Tables_number 1
_cell_length_a 7.815
_cell_length_b 7.815
_cell_length_c 8.345
_cell_angle_alpha 98.82
_cell_angle_beta 98.82
_cell_angle_gamma 119.99
loop_
_symmetry_equiv_pos_as_xyz
'x,y,z'
loop_
_atom_site_label
_atom_site_type_symbol
_atom_site_fract_x
_atom_site_fract_y
_atom_site_fract_z
U1 U 0.000 0.000 0.000
Tl1 Tl 0.168 0.832 0.500
Tl2 Tl 0.500 0.500 0.500
Tl3 Tl 0.832 0.168 0.500
In1 In 0.334 0.666 0.000
In2 In 0.666 0.334 0.000
Te1 Te 0.071 0.393 0.211
Te2 Te 0.250 0.250 0.785
Te3 Te 0.393 0.071 0.211
Te4 Te 0.607 0.929 0.789
Te5 Te 0.750 0.750 0.215
Te6 Te 0.929 0.607 0.789
# uncorrected formation energy: -0.3796 eV per atom
# Fermi-level density of states: 9.2 states/eV/cell